# 1
Here is Nd2SmSi4Pd2Au2 after structural relaxation from OQMD. Energies are from PBE-GGA.

Values from the calculation:
M_tot = 0.029 μB per cell
Calculated density = 8.58 g cm⁻³
ΔE to the lowest computed polymorph = 61 meV/atom
SG = Immm

Cell: 12.817 12.817 12.817 Å, 161.07 160.82 27.07°
Sites, in units of the cell vectors:
Nd1 0.146 0.146 0.000
Nd2 0.854 0.854 0.000
Sm1 0.500 0.000 0.500
Si1 0.048 0.548 0.500
Si2 0.311 0.311 0.000
Si3 0.689 0.689 0.000
Si4 0.952 0.452 0.500
Pd1 0.407 0.407 0.000
Pd2 0.593 0.593 0.000
Au1 0.251 0.751 0.500
Au2 0.749 0.249 0.500

***

# 2
Here is LiGaTc after structural relaxation from OQMD. Energies are from PBE-GGA.

Values from the calculation:
M_tot = 1.528 μB per cell
Calculated density = 5.54 g cm⁻³
ΔE to the lowest computed polymorph = 823 meV/atom
SG = F-43m

Cell: 4.200 4.200 4.200 Å, 60.00 60.00 60.00°
Sites, in units of the cell vectors:
Li1 0.000 0.000 0.000
Ga1 0.500 0.500 0.500
Tc1 0.750 0.750 0.750

***

# 3
Here is Tb3FeB7 after structural relaxation from OQMD. Energies are from PBE-GGA.

Values from the calculation:
M_tot = 0.530 μB per cell
Calculated density = 8.00 g cm⁻³
SG = Cmcm
Raw total energy = -6.836 eV/atom

Cell: 8.069 8.069 9.335 Å, 90.00 90.00 155.46°
Sites, in units of the cell vectors:
Tb1 0.105 0.895 0.561
Tb2 0.105 0.895 0.939
Tb3 0.243 0.757 0.250
Tb4 0.757 0.243 0.750
Tb5 0.895 0.105 0.061
Tb6 0.895 0.105 0.439
Fe1 0.055 0.945 0.250
Fe2 0.945 0.055 0.750
B1 0.272 0.728 0.533
B2 0.272 0.728 0.967
B3 0.370 0.630 0.653
B4 0.370 0.630 0.847
B5 0.461 0.539 0.250
B6 0.478 0.522 0.599
B7 0.478 0.522 0.901
B8 0.522 0.478 0.099
B9 0.522 0.478 0.401
B10 0.539 0.461 0.750
B11 0.630 0.370 0.153
B12 0.630 0.370 0.347
B13 0.728 0.272 0.033
B14 0.728 0.272 0.467